AcHoEr2Hg4: optimized geometry, PBE.

Values from the calculation:
Energy relative to the elements, eV per atom: -0.44
Calculated density, Mg/m³: 11.526
V, Å³ per atom: 27.5
Space group: R-3m (166)

abc: 5.279 5.279 9.622
angles: 74.08 74.08 60.00
Element x y z (fractional)
Ho 0.500 0.500 0.500
Er 0.244 0.244 0.267
Er 0.756 0.756 0.733
Hg 0.614 0.614 0.159
Hg 0.386 0.386 0.841
Hg 0.128 0.128 0.615
Hg 0.872 0.872 0.385
Ac 0.000 0.000 0.000

***

Ca3CdGa2: optimized geometry, PBE.

Values from the calculation:
Excess energy over the best structure of this formula in the dataset, eV/atom: 0.0121
Energy relative to the elements, eV per atom: -0.41
Calculated density, Mg/m³: 3.974
V, Å³ per atom: 25.9
Space group: Cmmm (65)

abc: 3.833 5.208 8.213
angles: 108.49 90.00 90.00
Element x y z (fractional)
Ga 0.000 0.664 0.327
Ga 0.000 0.336 0.673
Ca 0.500 0.172 0.343
Ca 0.500 0.500 0.000
Ca 0.500 0.828 0.657
Cd 0.000 0.000 0.000

***

Pm3OsC3: optimized geometry, PBE.

Values from the calculation:
Energy relative to the elements, eV per atom: -0.24
Calculated density, Mg/m³: 8.696
V, Å³ per atom: 18.0
Space group: Cmcm (63)

abc: 5.308 6.960 6.964
angles: 101.01 90.00 90.00
Element x y z (fractional)
Pm 0.250 0.893 0.107
Pm 0.750 0.168 0.409
Pm 0.250 0.832 0.591
Pm 0.750 0.107 0.893
Pm 0.750 0.591 0.832
Pm 0.250 0.409 0.168
C 0.750 0.829 0.573
C 0.250 0.123 0.877
C 0.750 0.877 0.123
C 0.250 0.573 0.829
C 0.750 0.427 0.171
C 0.250 0.171 0.427
Os 0.250 0.304 0.696
Os 0.750 0.696 0.304

***

NdReSi2Ru: optimized geometry, PBE.

Values from the calculation:
Raw formation energy, eV/atom: -0.626
Calculated density, Mg/m³: 9.115
V, Å³ per atom: 17.8
Space group: I-4m2 (119)

abc: 4.222 4.222 5.810
angles: 111.30 111.30 90.00
Element x y z (fractional)
Si 0.369 0.369 0.738
Si 0.631 0.631 0.262
Nd 0.000 0.000 0.000
Re 0.750 0.250 0.500
Ru 0.250 0.750 0.500

***

SrZrAl4: optimized geometry, PBE.

Values from the calculation:
Energy relative to the elements, eV per atom: -0.26
Calculated density, Mg/m³: 3.907
V, Å³ per atom: 20.3
Space group: F-43m (216)

abc: 5.565 5.565 5.565
angles: 60.00 60.00 60.00
Element x y z (fractional)
Al 0.877 0.374 0.374
Al 0.374 0.374 0.877
Al 0.374 0.877 0.374
Al 0.374 0.374 0.374
Zr 0.000 0.000 0.000
Sr 0.750 0.750 0.750

***

MgZrCdPb: optimized geometry, PBE.

Values from the calculation:
Energy relative to the elements, eV per atom: -0.13
Calculated density, Mg/m³: 8.016
V, Å³ per atom: 22.5
Space group: Pmmm (47)

abc: 4.342 4.441 4.675
angles: 90.00 90.00 90.00
Element x y z (fractional)
Zr 0.000 0.000 0.000
Cd 0.500 0.000 0.500
Mg 0.000 0.500 0.500
Pb 0.500 0.500 0.000